# KCa2P

An optimized crystal structure of KCa2P (GGA-PBE, Alexandria).

Results
Energy relative to the elements (eV/atom): -0.03
N(E_F) (states/eV/f.u.): 4.1
Size of the total moment (μB per formula unit): 0.1
Volume (Å³/f.u.): 117
DFT total energy (eV/atom): -2.658

Cell lengths 5.8951, 5.8951, 5.8951 Å; angles 129.99, 129.99, 73.43 degrees
Fractional positions:
Ca1 0.0000 0.0000 0.0000
Ca2 0.5000 0.5000 0.0000
K1 0.2500 0.7500 0.5000
P1 0.7500 0.2500 0.5000